ScPa2Fe9, relaxed, DFT PBE; total moment = 3.19 μB/cell; ΔE_f = -0.1131 eV per atom
1.0
4.8035 0.0000 0.0000
2.4017 4.1599 0.0000
2.4017 1.3866 8.3557
Sc Pa Fe
1 2 9
direct
0.0000 0.0000 0.0000
0.8590 0.8590 0.4231
0.1410 0.1410 0.5769
0.6669 0.6669 0.9993
0.3331 0.3331 0.0007
0.5000 0.5000 0.5000
0.4211 0.4211 0.2379
0.9198 0.4211 0.2379
0.4211 0.9198 0.2379
0.5789 0.5789 0.7621
0.5789 0.0802 0.7621
0.0802 0.5789 0.7621